3
Lattice="-3.988 -3.136 1.617 -2.045 -3.630 -3.316 0.869 -5.182 0.861" Properties=species:S:1:pos:R:3 comment="Sr2Au | the Alexandria database | SCAN | single point on PBEsol structure" final_energy_ev_per_atom=-38.553 dos_ef_per_ev_fu=2.86 vol_a3_per_atom=35.59 e_form_mev_per_atom=-650 pbc="T T T"
Sr -3.873 -8.961 -0.629
Sr -1.291 -2.987 -0.210
Au 0.000 0.000 0.000

4
Lattice="-0.741 -3.098 2.902 3.305 -1.978 1.932 0.801 0.720 4.173" Properties=species:S:1:pos:R:3 comment="GaAg2C | the Alexandria database | SCAN | single point on PBEsol structure" final_energy_ev_per_atom=-20.978 dos_ef_per_ev_fu=2.75 vol_a3_per_atom=14.15 e_form_mev_per_atom=1317 pbc="T T T"
C 0.000 0.000 0.000
Ga 1.683 -2.178 4.504
Ag 0.841 -1.089 2.252
Ag 2.524 -3.267 6.755

5
Lattice="4.888 0.000 0.000 0.000 4.888 0.000 0.000 0.000 4.888" Properties=species:S:1:pos:R:3 comment="Mg3NiGe | the Alexandria database | SCAN | single point on PBEsol structure" final_energy_ev_per_atom=-9.431 dos_ef_per_ev_fu=5.78 vol_a3_per_atom=23.36 e_form_mev_per_atom=605 pbc="T T T"
Ni 2.444 2.444 2.444
Ge 0.000 0.000 0.000
Mg 0.000 2.444 0.000
Mg 0.000 0.000 2.444
Mg 2.444 0.000 0.000

5
Lattice="-3.617 -2.864 -2.736 0.905 -4.205 3.205 -3.912 1.724 3.367" Properties=species:S:1:pos:R:3 comment="SiSbPbI2 | the Alexandria database | SCAN | single point on PBEsol structure" final_energy_ev_per_atom=-38.935 dos_ef_per_ev_fu=3.27 vol_a3_per_atom=31.31 pbc="T T T"
Pb -3.312 -2.673 1.917
I 0.452 -2.103 1.602
I -1.808 -1.432 -1.368
Si 0.000 0.000 0.000
Sb -1.956 0.862 1.683

88
Lattice="7.466 0.000 0.000 0.000 13.726 -0.080 0.000 -6.898 11.867" Properties=species:S:1:pos:R:3 comment="Hg2Te2O7 | the Alexandria database | SCAN | single point on PBEsol structure" final_energy_ev_per_atom=-23.945 dos_ef_per_ev_fu=0.00 vol_a3_per_atom=13.77 pbc="T T T"
Hg 3.572 8.338 2.731
Hg 0.351 6.928 5.804
Hg 7.115 1.589 8.898
Hg 3.894 -1.779 8.592
Hg 0.364 -1.583 2.991
Hg 0.000 1.942 3.352
Hg 3.733 1.987 3.431
Hg 0.000 5.402 9.324
Hg 0.161 -1.974 8.704
Hg 4.084 11.901 2.924
Hg 3.382 -3.384 11.778
Hg 7.102 3.382 0.114
Hg 4.097 6.796 6.008
Hg 3.733 5.356 9.245
Hg 3.369 1.831 8.884
Hg 7.305 8.533 2.618
Te 1.945 10.071 5.434
Te 5.598 0.276 0.506
Te 5.521 -0.295 11.440
Te 1.865 3.716 6.385
Te 5.598 -4.818 8.937
Te 1.788 -0.242 11.408
Te 1.816 4.897 2.946
Te 1.868 10.150 0.266
Te 1.917 8.311 8.840
Te 5.549 3.534 11.607
Te 5.601 5.494 2.963
Te 5.650 0.120 5.714
Te 1.865 -0.162 6.240
Te 5.601 3.690 6.399
Te 1.868 0.302 0.491
Te 5.678 10.017 5.466
O 2.189 12.146 0.703
O 1.544 1.834 6.677
O 2.282 3.874 8.240
O 6.080 1.550 11.242
O 4.167 0.273 4.459
O 1.451 0.460 2.347
O 5.417 2.382 7.825
O 2.347 5.567 1.043
O 2.001 -1.737 10.236
O 0.399 10.334 1.542
O 3.299 3.732 2.455
O 7.032 3.687 10.353
O 1.622 8.128 0.834
O 7.154 -0.059 4.554
O 2.049 5.603 5.959
O 0.000 4.027 6.952
O 6.026 2.177 5.218
O 0.434 7.147 8.348
O 0.057 10.619 5.136
O 6.025 8.155 5.876
O 1.386 8.981 6.937
O 4.132 6.508 3.758
O 2.111 -2.184 6.807
O 3.733 3.373 5.823
O 3.421 7.394 8.108
O 5.173 5.591 11.112
O 1.441 1.041 9.997
O 4.055 -3.762 9.395
O 2.292 -2.373 4.104
O 3.790 9.485 5.793
O 7.409 -0.827 11.767
O 7.067 -3.804 9.732
O 3.411 10.022 1.410
O 5.184 5.221 7.460
O 7.144 6.550 3.421
O 5.277 -5.432 10.886
O 3.733 0.613 1.059
O 5.119 -1.864 5.348
O 2.293 6.858 10.378
O 3.676 0.307 11.110
O 5.174 4.740 -0.017
O 5.844 -3.320 7.466
O 4.045 3.355 10.447
O 1.684 2.189 0.065
O 5.782 -1.032 1.931
O 0.322 -0.290 7.384
O 5.465 9.743 3.585
O 5.734 -0.569 9.559
O 5.355 6.992 1.492
O 1.732 8.575 4.262
O 3.334 0.022 7.515
O 1.440 3.444 4.484
O 0.000 6.787 11.716
O 6.015 1.807 1.567
O 0.312 3.980 2.214
O 5.922 4.880 4.912

28
Lattice="-0.567 -5.989 4.381 -0.878 -0.717 -7.355 9.207 -1.563 -0.946" Properties=species:S:1:pos:R:3 comment="Tb2Ga9Rh3 | the Alexandria database | SCAN | single point on PBEsol structure" final_energy_ev_per_atom=-25.251 dos_ef_per_ev_fu=3.46 vol_a3_per_atom=16.13 e_form_mev_per_atom=-826 pbc="T T T"
Tb 5.650 -5.899 -5.113
Tb 2.112 -2.371 1.192
Tb 5.752 -7.627 -1.266
Tb 2.010 -0.642 -2.655
Ga 6.721 -2.029 -1.090
Ga 1.042 -6.241 -2.832
Ga 8.287 -3.447 0.586
Ga -0.525 -4.823 -4.507
Ga 2.621 -5.357 -4.831
Ga 5.038 -1.153 -3.006
Ga 5.142 -2.912 0.909
Ga 2.725 -7.116 -0.915
Ga -0.421 -6.582 -0.592
Ga 8.183 -1.688 -3.329
Ga 3.526 -2.916 -1.403
Ga 4.236 -5.354 -2.518
Ga 7.648 -5.933 -2.868
Ga 0.114 -2.336 -1.053
Ga 6.298 -4.695 -0.802
Ga 1.465 -3.575 -3.119
Ga 6.233 -3.594 -3.254
Ga 1.530 -4.676 -0.667
Rh -0.776 -2.449 -3.501
Rh -0.669 -4.258 0.526
Rh 3.935 -5.039 0.053
Rh 3.828 -3.230 -3.974
Rh 0.000 0.000 0.000
Rh 4.604 -0.782 -0.473